1.
Density functional theory data (PBE) for a relaxed ThGaNi2 crystal.

Summary:
ΔE_f: -8.14 kcal/mol of atoms
calculated volume: 76 Å³/f.u.
size of the total moment: 0.000 μB per atom
SG: Amm2

CIF file:
```
data_ThGaNi2
_chemical_formula_sum 'Th1 Ga1 Ni2'
_space_group_name_H-M_alt 'P 1'
_space_group_IT_number 1
_cell_length_a 3.595
_cell_length_b 4.588
_cell_length_c 4.588
_cell_angle_alpha 92.02
_cell_angle_beta 90.00
_cell_angle_gamma 90.00
loop_
_space_group_symop_operation_xyz
'x,y,z'
loop_
_atom_site_label
_atom_site_type_symbol
_atom_site_fract_x
_atom_site_fract_y
_atom_site_fract_z
Th1 Th 0.000 0.837 0.163
Ga1 Ga 0.500 0.257 0.743
Ni1 Ni 0.500 0.367 0.246
Ni2 Ni 0.500 0.754 0.633
```


2.
Density functional theory data (PBE) for a relaxed ThGa12Ni4 crystal.

Summary:
ΔE_f: -3.52 kcal/mol of atoms
calculated volume: 312 Å³/f.u.
size of the total moment: 0.000 μB per atom
SG: Im-3

CIF file:
```
data_ThGa12Ni4
_chemical_formula_sum 'Th1 Ga12 Ni4'
_space_group_name_H-M_alt 'P 1'
_space_group_IT_number 1
_cell_length_a 7.397
_cell_length_b 7.397
_cell_length_c 7.397
_cell_angle_alpha 109.47
_cell_angle_beta 109.47
_cell_angle_gamma 109.47
loop_
_space_group_symop_operation_xyz
'x,y,z'
loop_
_atom_site_label
_atom_site_type_symbol
_atom_site_fract_x
_atom_site_fract_y
_atom_site_fract_z
Th1 Th 0.000 0.000 0.000
Ga1 Ga 0.830 0.341 0.171
Ga2 Ga 0.341 0.511 0.170
Ga3 Ga 0.829 0.170 0.659
Ga4 Ga 0.341 0.171 0.830
Ga5 Ga 0.171 0.830 0.341
Ga6 Ga 0.659 0.489 0.830
Ga7 Ga 0.511 0.170 0.341
Ga8 Ga 0.489 0.830 0.659
Ga9 Ga 0.659 0.829 0.170
Ga10 Ga 0.830 0.659 0.489
Ga11 Ga 0.170 0.341 0.511
Ga12 Ga 0.170 0.659 0.829
Ni1 Ni 0.000 0.500 0.000
Ni2 Ni 0.500 0.000 0.000
Ni3 Ni 0.500 0.500 0.500
Ni4 Ni 0.000 0.000 0.500
```


3.
Density functional theory data (PBE) for a relaxed Th2Ga2Ni3 crystal.

Summary:
ΔE_f: -12.81 kcal/mol of atoms
calculated volume: 128 Å³/f.u.
offset from the most stable computed form: 0.0 meV per atom
size of the total moment: 0.000 μB per atom
SG: Cmcm

CIF file:
```
data_Th2Ga2Ni3
_chemical_formula_sum 'Th4 Ga4 Ni6'
_space_group_name_H-M_alt 'P 1'
_space_group_IT_number 1
_cell_length_a 3.977
_cell_length_b 7.031
_cell_length_c 9.389
_cell_angle_alpha 90.00
_cell_angle_beta 102.23
_cell_angle_gamma 90.00
loop_
_space_group_symop_operation_xyz
'x,y,z'
loop_
_atom_site_label
_atom_site_type_symbol
_atom_site_fract_x
_atom_site_fract_y
_atom_site_fract_z
Th1 Th 0.147 0.250 0.293
Th2 Th 0.853 0.750 0.707
Th3 Th 0.940 0.250 0.881
Th4 Th 0.060 0.750 0.119
Ga1 Ga 0.694 0.941 0.387
Ga2 Ga 0.306 0.059 0.613
Ga3 Ga 0.306 0.441 0.613
Ga4 Ga 0.694 0.559 0.387
Ni1 Ni 0.229 0.750 0.457
Ni2 Ni 0.771 0.250 0.543
Ni3 Ni 0.561 0.447 0.123
Ni4 Ni 0.439 0.553 0.877
Ni5 Ni 0.439 0.947 0.877
Ni6 Ni 0.561 0.053 0.123
```


4.
Density functional theory data (PBE) for a relaxed ThGa3Ni crystal.

Summary:
ΔE_f: -14.09 kcal/mol of atoms
calculated volume: 92 Å³/f.u.
offset from the most stable computed form: 0.0 meV per atom
size of the total moment: 0.000 μB per atom
SG: I4mm

CIF file:
```
data_ThGa3Ni
_chemical_formula_sum 'Th1 Ga3 Ni1'
_space_group_name_H-M_alt 'P 1'
_space_group_IT_number 1
_cell_length_a 4.246
_cell_length_b 4.246
_cell_length_c 5.933
_cell_angle_alpha 110.97
_cell_angle_beta 110.97
_cell_angle_gamma 90.00
loop_
_space_group_symop_operation_xyz
'x,y,z'
loop_
_atom_site_label
_atom_site_type_symbol
_atom_site_fract_x
_atom_site_fract_y
_atom_site_fract_z
Th1 Th 0.007 0.007 0.014
Ga1 Ga 0.257 0.757 0.514
Ga2 Ga 0.757 0.257 0.514
Ga3 Ga 0.421 0.421 0.841
Ni1 Ni 0.648 0.648 0.297
```


5.
Density functional theory data (PBE) for a relaxed ThGa3Ni3 crystal.

Summary:
ΔE_f: -7.00 kcal/mol of atoms
calculated volume: 114 Å³/f.u.
size of the total moment: 0.000 μB per atom
SG: R-3

CIF file:
```
data_ThGa3Ni3
_chemical_formula_sum 'Th2 Ga6 Ni6'
_space_group_name_H-M_alt 'P 1'
_space_group_IT_number 1
_cell_length_a 6.482
_cell_length_b 6.482
_cell_length_c 7.315
_cell_angle_alpha 63.70
_cell_angle_beta 63.70
_cell_angle_gamma 60.00
loop_
_space_group_symop_operation_xyz
'x,y,z'
loop_
_atom_site_label
_atom_site_type_symbol
_atom_site_fract_x
_atom_site_fract_y
_atom_site_fract_z
Th1 Th 0.341 0.341 0.976
Th2 Th 0.659 0.659 0.024
Ga1 Ga 0.546 0.744 0.616
Ga2 Ga 0.744 0.093 0.616
Ga3 Ga 0.093 0.546 0.616
Ga4 Ga 0.907 0.454 0.384
Ga5 Ga 0.256 0.907 0.384
Ga6 Ga 0.454 0.256 0.384
Ni1 Ni 0.165 0.706 0.208
Ni2 Ni 0.922 0.165 0.208
Ni3 Ni 0.706 0.922 0.208
Ni4 Ni 0.294 0.078 0.792
Ni5 Ni 0.078 0.835 0.792
Ni6 Ni 0.835 0.294 0.792
```


6.
Density functional theory data (PBE) for a relaxed ThGa2Ni8 crystal.

Summary:
ΔE_f: 1.83 kcal/mol of atoms
calculated volume: 167 Å³/f.u.
size of the total moment: 0.000 μB per atom
SG: P4/mmm

CIF file:
```
data_ThGa2Ni8
_chemical_formula_sum 'Th1 Ga2 Ni8'
_space_group_name_H-M_alt 'P 1'
_space_group_IT_number 1
_cell_length_a 5.857
_cell_length_b 5.857
_cell_length_c 4.864
_cell_angle_alpha 90.00
_cell_angle_beta 90.00
_cell_angle_gamma 90.00
loop_
_space_group_symop_operation_xyz
'x,y,z'
loop_
_atom_site_label
_atom_site_type_symbol
_atom_site_fract_x
_atom_site_fract_y
_atom_site_fract_z
Th1 Th 0.500 0.500 0.500
Ga1 Ga 0.500 0.000 0.000
Ga2 Ga 0.000 0.500 0.000
Ni1 Ni 0.798 0.798 0.256
Ni2 Ni 0.798 0.202 0.744
Ni3 Ni 0.798 0.798 0.744
Ni4 Ni 0.798 0.202 0.256
Ni5 Ni 0.202 0.798 0.256
Ni6 Ni 0.202 0.798 0.744
Ni7 Ni 0.202 0.202 0.256
Ni8 Ni 0.202 0.202 0.744
```


7.
Density functional theory data (PBE) for a relaxed TmThGa2Ni5 crystal.

Summary:
ΔE_f: -10.19 kcal/mol of atoms
calculated volume: 143 Å³/f.u.
size of the total moment: 0.000 μB per atom
SG: P4/mmm

CIF file:
```
data_TmThGa2Ni5
_chemical_formula_sum 'Tm1 Th1 Ga2 Ni5'
_space_group_name_H-M_alt 'P 1'
_space_group_IT_number 1
_cell_length_a 4.063
_cell_length_b 4.063
_cell_length_c 8.655
_cell_angle_alpha 90.00
_cell_angle_beta 90.00
_cell_angle_gamma 90.00
loop_
_space_group_symop_operation_xyz
'x,y,z'
loop_
_atom_site_label
_atom_site_type_symbol
_atom_site_fract_x
_atom_site_fract_y
_atom_site_fract_z
Tm1 Tm 0.000 0.000 0.000
Th1 Th 0.000 0.000 0.500
Ga1 Ga 0.500 0.500 0.144
Ga2 Ga 0.500 0.500 0.856
Ni1 Ni 0.000 0.500 0.283
Ni2 Ni 0.500 0.000 0.283
Ni3 Ni 0.000 0.500 0.717
Ni4 Ni 0.500 0.000 0.717
Ni5 Ni 0.500 0.500 0.500
```


8.
Density functional theory data (PBE) for a relaxed TmThGa2Ni2 crystal.

Summary:
ΔE_f: -13.64 kcal/mol of atoms
calculated volume: 114 Å³/f.u.
size of the total moment: 0.000 μB per atom
SG: P-3m1

CIF file:
```
data_TmThGa2Ni2
_chemical_formula_sum 'Tm1 Th1 Ga2 Ni2'
_space_group_name_H-M_alt 'P 1'
_space_group_IT_number 1
_cell_length_a 4.308
_cell_length_b 4.308
_cell_length_c 7.106
_cell_angle_alpha 90.00
_cell_angle_beta 90.00
_cell_angle_gamma 120.00
loop_
_space_group_symop_operation_xyz
'x,y,z'
loop_
_atom_site_label
_atom_site_type_symbol
_atom_site_fract_x
_atom_site_fract_y
_atom_site_fract_z
Tm1 Tm 0.000 0.000 0.500
Th1 Th 0.000 0.000 0.000
Ga1 Ga 0.667 0.333 0.726
Ga2 Ga 0.333 0.667 0.274
Ni1 Ni 0.667 0.333 0.265
Ni2 Ni 0.333 0.667 0.735
```